1.
An optimized crystal structure of Y5ThAl4, computed with PBE-GGA.

Cell: 3.5646 3.5646 19.7887 Å, 90.00 90.00 90.00°
Fractional positions:
Y  0.5000  0.5000  0.3136
Y  0.5000  0.5000  0.6864
Y  0.5000  0.5000  0.8740
Y  0.5000  0.5000  0.1260
Y  0.5000  0.5000  0.5000
Al  0.0000  0.0000  0.4066
Al  0.0000  0.0000  0.2193
Al  0.0000  0.0000  0.5934
Al  0.0000  0.0000  0.7807
Th  0.0000  0.0000  0.0000

Calculated values
Its formation energy is -323 meV per atom.

2.
An optimized crystal structure of ScBe, computed with PBE-GGA.

Cell: 2.9588 4.0444 5.5325 Å, 90.00 90.00 90.00°
Fractional positions:
Sc  0.0000  0.0000  0.5453
Sc  0.5000  0.5000  0.2047
Be  0.0000  0.0000  0.0115
Be  0.5000  0.5000  0.7385

Calculated values
Its formation energy is 313 meV per atom.

3.
An optimized crystal structure of Rb2CdAgHg, computed with PBE-GGA.

Cell: 6.6591 5.4424 6.6591 Å, 90.00 90.00 90.00°
Fractional positions:
Hg  0.0000  0.5000  0.0000
Rb  0.0000  0.0000  0.5000
Rb  0.5000  0.0000  0.0000
Cd  0.5000  0.5000  0.5000
Ag  0.0000  0.0000  0.0000

Calculated values
The value obtained for the relative energy among the computed polymorphs is 34 meV/atom. Its formation energy is 68 meV per atom.

4.
An optimized crystal structure of Sm2ErPa2Co5, computed with PBE-GGA.

Cell: 3.4652 10.5662 10.5662 Å, 90.00 90.00 90.00°
Fractional positions:
Co  0.5000  0.2784  0.5426
Co  0.5000  0.5426  0.7216
Co  0.5000  0.0426  0.7784
Co  0.5000  0.2216  0.0426
Co  0.5000  0.5000  0.0000
Co  0.5000  0.0000  0.5000
Co  0.5000  0.7784  0.9574
Co  0.5000  0.4574  0.2784
Co  0.5000  0.7216  0.4574
Co  0.5000  0.9574  0.2216
Sm  0.0000  0.6728  0.1728
Sm  0.0000  0.3272  0.8272
Sm  0.0000  0.8272  0.6728
Sm  0.0000  0.1728  0.3272
Er  0.0000  0.5000  0.5000
Er  0.0000  0.0000  0.0000
Pa  0.0000  0.6349  0.8651
Pa  0.0000  0.3651  0.1349
Pa  0.0000  0.1349  0.6349
Pa  0.0000  0.8651  0.3651

Calculated values
Its formation energy is -118 meV per atom.

5.
An optimized crystal structure of NbInCoNi, computed with PBE-GGA.

Cell: 4.3793 4.3793 4.3793 Å, 60.00 60.00 60.00°
Fractional positions:
In  0.0000  0.0000  0.0000
Nb  0.5000  0.5000  0.5000
Ni  0.2500  0.2500  0.2500
Co  0.7500  0.7500  0.7500

Calculated values
Its formation energy is -100 meV per atom.

6.
An optimized crystal structure of Pu2S2O, computed with PBE-GGA.

Cell: 3.5346 5.5028 5.5028 Å, 72.67 71.27 71.27°
Fractional positions:
Pu  0.5000  0.7604  0.2396
Pu  0.5000  0.2396  0.7604
O  0.0000  0.0000  0.0000
S  0.8096  0.6904  0.6904
S  0.1904  0.3096  0.3096

Calculated values
For the formation energy without anion corrections, the calculation gives -10.02 eV per formula unit. The value obtained for the relative energy among the computed polymorphs is 0 meV/atom.

| no. | VASP energy (eV per atom) |
| --- | --- |
| 1 | -5.79 |
| 2 | -4.72 |
| 3 | -1.13 |
| 4 | -6.97 |
| 5 | -6.52 |
| 6 | -10.38 |